1.
First-principles (PBE-GGA) data for crystalline GaSiSbTe2 at its relaxed geometry, as listed in Alexandria via LeMat-Bulk.

Cell lengths 5.3379, 5.3379, 5.2718 Å; angles 90.00, 90.00, 90.00 degrees
Positions (direct):
Ga 0.0000 0.0000 0.0000
Si 0.5000 0.5000 0.5000
Sb 0.0000 0.0000 0.5000
Te 0.0000 0.5000 0.0000
Te 0.5000 0.0000 0.0000

Symmetry: P4/mmm, No. 123
Calculated total energy in eV/atom: -3.0007
Magnetic moment in μB per formula unit: 0.00
Raw formation energy in eV per formula unit: 3.85
Density in g/cm³: 5.2
Excess energy over the best structure of this formula in the dataset in meV per atom: 345

=====

2.
First-principles (PBE-GGA) data for crystalline GaSiSb2Te at its relaxed geometry, as listed in Alexandria via LeMat-Bulk.

Cell lengths 5.2699, 5.2699, 5.3425 Å; angles 90.00, 90.00, 90.00 degrees
Positions (direct):
Ga 0.0000 0.0000 0.0000
Si 0.5000 0.5000 0.5000
Sb 0.0000 0.5000 0.0000
Sb 0.5000 0.0000 0.0000
Te 0.0000 0.0000 0.5000

Symmetry: P4/mmm, No. 123
Calculated total energy in eV/atom: -3.1295
Magnetic moment in μB per formula unit: 0.00
Raw formation energy in eV per formula unit: 4.19
Density in g/cm³: 5.2
Excess energy over the best structure of this formula in the dataset in meV per atom: 325

=====

3.
First-principles (PBE-GGA) data for crystalline TlGa2SiSb at its relaxed geometry, as listed in Alexandria via LeMat-Bulk.

Cell lengths 5.3241, 5.3241, 5.7578 Å; angles 90.00, 90.00, 90.00 degrees
Positions (direct):
Tl 0.0000 0.0000 0.0000
Ga 0.0000 0.5000 0.5000
Ga 0.5000 0.0000 0.5000
Si 0.5000 0.5000 0.0000
Sb 0.0000 0.0000 0.5000

Symmetry: P4/mmm, No. 123
Calculated total energy in eV/atom: -2.6802
Magnetic moment in μB per formula unit: 0.71
Raw formation energy in eV per formula unit: 4.56
Density in g/cm³: 5.0

=====

4.
First-principles (PBE-GGA) data for crystalline Zn2GaSiSb at its relaxed geometry, as listed in Alexandria via LeMat-Bulk.

Cell lengths 5.1002, 5.1002, 5.3877 Å; angles 90.00, 90.00, 90.00 degrees
Positions (direct):
Zn 0.0000 0.5000 0.0000
Zn 0.5000 0.0000 0.0000
Ga 0.0000 0.0000 0.5000
Si 0.5000 0.5000 0.5000
Sb 0.0000 0.0000 0.0000

Symmetry: P4/mmm, No. 123
Calculated total energy in eV/atom: -2.1143
Magnetic moment in μB per formula unit: 0.00
Raw formation energy in eV per formula unit: 4.55
Density in g/cm³: 4.2

=====

5.
First-principles (PBE-GGA) data for crystalline Sm3GaSb at its relaxed geometry, as listed in Alexandria via LeMat-Bulk.

Cell lengths 6.8070, 4.5860, 9.1286 Å; angles 90.00, 90.05, 90.00 degrees
Positions (direct):
Sm 0.2251 0.2500 0.2499
Sm 0.2418 0.7500 0.5503
Sm 0.2427 0.7500 0.9496
Sm 0.7573 0.2500 0.0504
Sm 0.7582 0.2500 0.4497
Sm 0.7749 0.7500 0.7501
Ga 0.0487 0.2500 0.7500
Ga 0.9513 0.7500 0.2500
Sb 0.4635 0.2500 0.7499
Sb 0.5365 0.7500 0.2501

Symmetry: P2_1/m, No. 11
Calculated total energy in eV/atom: -4.9343
Magnetic moment in μB per formula unit: 0.00
Raw formation energy in eV per formula unit: -3.36
Density in g/cm³: 7.5

=====

6.
First-principles (PBE-GGA) data for crystalline SmGaSb at its relaxed geometry, as listed in Alexandria via LeMat-Bulk.

Cell lengths 4.7432, 4.7432, 4.0076 Å; angles 90.00, 90.00, 120.00 degrees
Positions (direct):
Sm 0.0000 0.0000 0.0000
Ga 0.3333 0.6667 0.5842
Sb 0.6667 0.3333 0.4710

Symmetry: P3m1, No. 156
Calculated total energy in eV/atom: -4.4891
Magnetic moment in μB per formula unit: 0.00
Raw formation energy in eV per formula unit: -1.60
Density in g/cm³: 7.3
Excess energy over the best structure of this formula in the dataset in meV per atom: 0

=====

- raw formation energy of number 3 (TlGa2SiSb)?
  4.56 eV per formula unit